Entry 1:
# LiTeP2S (meta-GGA SCAN, PBEsol geometry)
data_LiTeP2S
_chemical_formula_sum 'Li1 Te1 P2 S1'
_cell_length_a 4.5480
_cell_length_b 4.5480
_cell_length_c 4.1950
_cell_angle_alpha 90.00
_cell_angle_beta 90.00
_cell_angle_gamma 90.00
_symmetry_space_group_name_H-M 'P 4/m m m'
_symmetry_Int_Tables_number 123
_symmetry_space_group_name_Hall '-P 4 2'
loop_
_atom_site_label
_atom_site_type_symbol
_atom_site_fract_x
_atom_site_fract_y
_atom_site_fract_z
Li1 Li 0.0000 0.0000 0.0000
Te1 Te 0.5000 0.5000 0.5000
P1 P 0.0000 0.5000 0.0000
S1 S 0.0000 0.0000 0.5000
# VASP energy = -13.2621 eV/atom
# Total magnetization = 0.00 μB/f.u.
# Formation energy (no corrections) = 751 meV per atom

Entry 2:
# YPbW (meta-GGA SCAN, PBEsol geometry)
data_YPbW
_chemical_formula_sum 'Y4 Pb4 W4'
_cell_length_a 6.9050
_cell_length_b 6.9050
_cell_length_c 6.9050
_cell_angle_alpha 90.00
_cell_angle_beta 90.00
_cell_angle_gamma 90.00
_symmetry_space_group_name_H-M 'F -4 3 m'
_symmetry_Int_Tables_number 216
_symmetry_space_group_name_Hall 'F -4 2 3'
loop_
_atom_site_label
_atom_site_type_symbol
_atom_site_fract_x
_atom_site_fract_y
_atom_site_fract_z
Y1 Y 0.0000 0.0000 0.0000
Pb1 Pb 0.2500 0.2500 0.2500
W1 W 0.2500 0.2500 0.7500
# VASP energy = -56.4163 eV/atom
# Total magnetization = 3.29 μB/f.u.
# E above lowest polymorph = 941.9 meV/atom

Entry 3:
# CoSb2PtF (meta-GGA SCAN, PBEsol geometry)
data_CoSb2PtF
_chemical_formula_sum 'Co1 Sb2 Pt1 F1'
_cell_length_a 4.6780
_cell_length_b 4.6780
_cell_length_c 4.2633
_cell_angle_alpha 90.00
_cell_angle_beta 90.00
_cell_angle_gamma 90.00
_symmetry_space_group_name_H-M 'P 4/m m m'
_symmetry_Int_Tables_number 123
_symmetry_space_group_name_Hall '-P 4 2'
loop_
_atom_site_label
_atom_site_type_symbol
_atom_site_fract_x
_atom_site_fract_y
_atom_site_fract_z
Co1 Co 0.0000 0.0000 0.0000
Sb1 Sb 0.0000 0.5000 0.5000
Pt1 Pt 0.5000 0.5000 0.0000
F1 F 0.5000 0.5000 0.5000
# VASP energy = -32.5362 eV/atom
# Total magnetization = 2.25 μB/f.u.
# Formation energy (no corrections) = 576 meV per atom

Entry 4:
# CrGaSCl2 (meta-GGA SCAN, PBEsol geometry)
data_CrGaSCl2
_chemical_formula_sum 'Cr1 Ga1 S1 Cl2'
_cell_length_a 4.6942
_cell_length_b 4.6942
_cell_length_c 4.7775
_cell_angle_alpha 90.00
_cell_angle_beta 90.00
_cell_angle_gamma 90.00
_symmetry_space_group_name_H-M 'P 4/m m m'
_symmetry_Int_Tables_number 123
_symmetry_space_group_name_Hall '-P 4 2'
loop_
_atom_site_label
_atom_site_type_symbol
_atom_site_fract_x
_atom_site_fract_y
_atom_site_fract_z
Cr1 Cr 0.0000 0.0000 0.0000
Ga1 Ga 0.5000 0.5000 0.5000
S1 S 0.5000 0.5000 0.0000
Cl1 Cl 0.0000 0.5000 0.5000
# VASP energy = -12.3821 eV/atom
# Total magnetization = 4.64 μB/f.u.
# Formation energy (no corrections) = -319 meV per atom